An optimized crystal structure of LiCoP2O7, computed with GGA-PBEsol.

Cell lengths 6.0718, 6.0718, 12.6672 Å; angles 100.79, 102.32, 99.44 degrees
Last column: nearest neighbours and their distance in Å.
Fractional coordinates of all 44 atoms:
O: 0.6919 0.3846 0.4850  1 P 1.54
O: 0.7293 0.0853 0.6191  1 P 1.54
O: 0.8626 0.9730 0.2990  1 P 1.53
O: 0.1740 0.5637 0.2010  1 P 1.53
O: 0.1374 0.0270 0.7010  1 P 1.53
O: 0.2201 0.6045 0.0187  2 P 1.59-1.61
O: 0.5455 0.0802 0.8176  1 P 1.54
O: 0.3324 0.4341 0.8507  1 P 1.51
O: 0.3996 0.2069 0.0150  1 P 1.54
O: 0.0857 0.2014 0.4813  2 P 1.59-1.61
O: 0.4545 0.9198 0.1824  1 P 1.54
O: 0.6676 0.5659 0.1493  1 P 1.51
O: 0.7799 0.3955 0.9813  2 P 1.59-1.61
O: 0.2092 0.8109 0.8645  1 P 1.53
O: 0.5536 0.6553 0.3645  1 P 1.53
O: 0.7908 0.1891 0.1355  1 P 1.53
O: 0.3081 0.6154 0.5150  1 P 1.54
O: 0.0834 0.4818 0.6493  1 P 1.51
O: 0.2707 0.9147 0.3809  1 P 1.54
O: 0.9143 0.7986 0.5187  2 P 1.59-1.61
O: 0.4464 0.3447 0.6355  1 P 1.53
O: 0.9661 0.1102 0.8809  1 P 1.54
O: 0.9166 0.5182 0.3507  1 P 1.51
O: 0.0339 0.8898 0.1191  1 P 1.54
O: 0.8260 0.4363 0.7990  1 P 1.53
O: 0.2374 0.2721 0.3176  1 P 1.54
O: 0.6004 0.7931 0.9850  1 P 1.54
O: 0.7626 0.7279 0.6824  1 P 1.54
Co: 0.7303 0.8771 0.1411  6 O 1.89-1.93
Co: 0.7640 0.4108 0.6411  6 O 1.89-1.93
Co: 0.2360 0.5892 0.3589  6 O 1.89-1.93
Co: 0.2697 0.1229 0.8589  6 O 1.89-1.93
P: 0.7791 0.2517 0.8629  4 O 1.53-1.59
P: 0.8888 0.9162 0.6371  4 O 1.53-1.59
P: 0.2209 0.7483 0.1371  4 O 1.53-1.59
P: 0.1112 0.0838 0.3629  4 O 1.53-1.59
P: 0.7611 0.5754 0.4261  4 O 1.51-1.61
P: 0.2389 0.4246 0.5739  4 O 1.51-1.61
P: 0.3507 0.6650 0.9261  4 O 1.51-1.61
P: 0.6493 0.3350 0.0739  4 O 1.51-1.61
Li: 0.1382 0.2313 0.1474  4 O 1.96-2.07
Li: 0.8618 0.7687 0.8526  4 O 1.96-2.07
Li: 0.5839 0.9908 0.3526  4 O 1.96-2.07
Li: 0.4161 0.0092 0.6474  4 O 1.96-2.07

offset from the most stable computed form: 0.0 meV per atom
theoretical density: 3.6 g/cm³
size of the total moment: 0.000 μB per formula unit
formation energy without anion corrections: -186.4 kJ per mole of atoms